{
  "formula": "NbV2FeO8",
  "functional": "PBE with a Hubbard U",
  "state": "relaxed",
  "mass_density_g_cm3": 4.92,
  "total_energy_ha_per_atom": -0.283,
  "lattice_angstrom": [[3.287, -3.293, 0.000], [3.287, 3.293, 0.000], [0.000, 0.000, 5.904]],
  "species": ["Nb", "V", "V", "Fe", "O", "O", "O", "O", "O", "O", "O", "O"],
  "fractional_positions": [[0.000, 0.000, 0.000], [0.500, 0.500, 0.265], [0.500, 0.500, 0.735], [0.000, 0.000, 0.500], [0.202, 0.202, 0.252], [0.202, 0.202, 0.748], [0.300, 0.700, 0.500], [0.310, 0.690, 0.000], [0.690, 0.310, 0.000], [0.700, 0.300, 0.500], [0.798, 0.798, 0.252], [0.798, 0.798, 0.748]]
}